Entry from OQMD via LeMat-Bulk: crystalline MgPdSO at its relaxed geometry (PBE-GGA).

## Properties
* raw total energy: -4.648 eV/atom
* ΔE to the lowest computed polymorph: 0.4757 eV per atom

Lattice parameters (Å, degrees): 3.6595 3.6598 10.7934 90.00 90.00 60.00
Last column: nearest neighbours and their distance in Å.
Sites, in units of the cell vectors:
Mg1 0.0000 0.0000 0.9987  1 O 1.90
Pd1 0.6667 0.6667 0.2445  3 O 2.28, 3 S 2.49-2.50
O1 0.0000 0.0000 0.3228  1 Mg 1.90
S1 0.3333 0.3334 0.1217  3 Pd 2.49-2.50, 3 Mg 2.50
S2 0.6667 0.6666 0.6217  3 Pd 2.49-2.50, 3 Mg 2.50
Pd2 0.3333 0.3333 0.7445  3 O 2.28, 3 S 2.49-2.50
O2 0.0000 0.0000 0.8228  1 Mg 1.90
Mg2 0.0000 0.0000 0.4987  1 O 1.90